DFT (meta-GGA SCAN) results for a PBEsol-optimized structure of SrSiRu.

Summary:
Energy relative to the elements, uncorrected ... -90 kJ/mol of formula units
Crystal system ... tetragonal
Size of the total moment ... 0.0 μB/f.u.

Lattice parameters (Å, degrees): 6.0523 6.0523 6.0523 149.50 149.50 43.67
Sites, in units of the cell vectors:
Sr  0.0000  0.0000  0.0000
Si  0.7115  0.7115  0.0000
Ru  0.2939  0.2939  0.0000